DFT (PBE) results for a relaxed YOs2Rh crystal.

Results
crystal system	monoclinic
final energy	-36.1	eV/f.u.

a b c (Å): 2.9034 4.3588 5.5013
angles (deg): 90.00 102.90 90.00
Positions (direct):
Y (0.0000, 0.0000, 0.0000)
Os (0.3256, 0.0000, 0.5049)
Os (0.7270, 0.5000, 0.3667)
Rh (0.4227, 0.5000, 0.7994)